Arrangement i

10
Lattice="6.623 0.000 0.000 0.000 6.623 0.000 0.000 0.000 4.468" Properties=species:S:1:pos:R:3 comment="Ga2Hg2Rh | Alexandria | GGA-PBE | optimized geometry" spacegroup="P4/mbm (127)" pbc="T T T"
Ga 0.955 2.357 0.000
Ga 2.357 5.668 0.000
Ga 4.266 0.955 0.000
Ga 5.668 4.266 0.000
Hg 1.150 4.461 2.234
Hg 2.162 1.150 2.234
Hg 4.461 5.473 2.234
Hg 5.473 2.162 2.234
Rh 0.000 0.000 0.000
Rh 3.312 3.312 0.000



Arrangement ii

5
Lattice="-1.805 1.805 7.738 1.805 -1.805 7.738 1.805 1.805 -7.738" Properties=species:S:1:pos:R:3 comment="Ga2Hg2Rh | Alexandria | GGA-PBE | optimized geometry" spacegroup="I4/mmm (139)" pbc="T T T"
Ga 1.805 0.000 3.869
Ga 0.000 1.805 3.869
Hg 0.000 0.000 1.446
Hg 0.000 0.000 14.029
Rh 0.000 0.000 7.738



Most stable one: arrangement i, least stable one: arrangement ii.



Arrangement i

5
Lattice="5.252 0.000 0.000 0.000 5.252 0.000 0.000 0.000 5.252" Properties=species:S:1:pos:R:3 comment="GaHg3Ru | Alexandria | GGA-PBE | optimized geometry" spacegroup="Pm-3m (221)" pbc="T T T"
Ga 0.000 0.000 0.000
Hg 0.000 2.626 2.626
Hg 2.626 0.000 2.626
Hg 2.626 2.626 0.000
Ru 2.626 2.626 2.626



Arrangement ii

5
Lattice="5.112 0.000 0.000 0.000 5.112 0.000 0.000 0.000 5.112" Properties=species:S:1:pos:R:3 comment="GaHg3Ru | Alexandria | GGA-PBE | optimized geometry" spacegroup="Pm-3m (221)" pbc="T T T"
Ga 0.000 0.000 0.000
Hg 0.000 0.000 2.556
Hg 0.000 2.556 0.000
Hg 2.556 0.000 0.000
Ru 2.556 2.556 2.556



Most stable one: arrangement i, least stable one: arrangement ii.